(1)
## Ta2TlB (GGA-PBE)

Data for a relaxed Ta2TlB crystal. Values from VASP.

The structure in Quantum ESPRESSO input format:
```
&SYSTEM
  ibrav = 0, nat = 16, ntyp = 3
/
ATOMIC_SPECIES
Ta 180.95 Ta.upf
Tl 204.38 Tl.upf
B 10.81 B.upf
CELL_PARAMETERS angstrom
6.4187 0.0000 0.0000
0.0000 6.4187 0.0000
0.0000 0.0000 6.4187
ATOMIC_POSITIONS crystal
Ta 0.2500 0.2500 0.2500
Ta 0.2500 0.2500 0.7500
Ta 0.2500 0.7500 0.2500
Ta 0.2500 0.7500 0.7500
Ta 0.7500 0.2500 0.2500
Ta 0.7500 0.2500 0.7500
Ta 0.7500 0.7500 0.2500
Ta 0.7500 0.7500 0.7500
Tl 0.0000 0.0000 0.0000
Tl 0.0000 0.5000 0.5000
Tl 0.5000 0.0000 0.5000
Tl 0.5000 0.5000 0.0000
B 0.0000 0.0000 0.5000
B 0.0000 0.5000 0.0000
B 0.5000 0.0000 0.0000
B 0.5000 0.5000 0.5000
```

## Properties
E above lowest polymorph   2.010 eV per formula unit
SG   Fm-3m (225)

(2)
## TmTaB (GGA-PBE)

Data for a relaxed TmTaB crystal. Values from VASP.

The structure in Quantum ESPRESSO input format:
```
&SYSTEM
  ibrav = 0, nat = 12, ntyp = 3
/
ATOMIC_SPECIES
Tm 168.93 Tm.upf
Ta 180.95 Ta.upf
B 10.81 B.upf
CELL_PARAMETERS angstrom
3.3196 0.0000 0.0000
0.0000 19.8218 0.0000
0.0000 0.0000 3.1583
ATOMIC_POSITIONS crystal
Tm 0.0000 0.1751 0.2500
Tm 0.0000 0.8249 0.7500
Tm 0.5000 0.3249 0.7500
Tm 0.5000 0.6751 0.2500
Ta 0.0000 0.4361 0.2500
Ta 0.0000 0.5639 0.7500
Ta 0.5000 0.0639 0.7500
Ta 0.5000 0.9361 0.2500
B 0.0000 0.0245 0.2500
B 0.0000 0.9755 0.7500
B 0.5000 0.4755 0.7500
B 0.5000 0.5245 0.2500
```

## Properties
SG   Cmcm (63)

(3)
## TmTa2B6 (GGA-PBE)

Data for a relaxed TmTa2B6 crystal. Values from VASP.

The structure in Quantum ESPRESSO input format:
```
&SYSTEM
  ibrav = 0, nat = 9, ntyp = 3
/
ATOMIC_SPECIES
Tm 168.93 Tm.upf
Ta 180.95 Ta.upf
B 10.81 B.upf
CELL_PARAMETERS angstrom
-1.6020 3.6291 4.2453
1.6020 -3.6291 4.2453
1.6020 3.6291 -4.2453
ATOMIC_POSITIONS crystal
Tm 0.0000 0.0000 0.0000
Ta 0.3379 0.8379 0.5000
Ta 0.6621 0.1621 0.5000
B 0.0676 0.3037 0.7639
B 0.3472 0.5000 0.8472
B 0.4601 0.6963 0.7639
B 0.5399 0.3037 0.2361
B 0.6528 0.5000 0.1528
B 0.9324 0.6963 0.2361
```

## Properties
E above lowest polymorph   1.799 eV per formula unit
SG   Immm (71)

(4)
## TmTaB2 (GGA-PBE)

Data for a relaxed TmTaB2 crystal. Values from VASP.

The structure in Quantum ESPRESSO input format:
```
&SYSTEM
  ibrav = 0, nat = 12, ntyp = 3
/
ATOMIC_SPECIES
Tm 168.93 Tm.upf
Ta 180.95 Ta.upf
B 10.81 B.upf
CELL_PARAMETERS angstrom
3.4171 0.0000 0.0000
-1.7085 2.9593 0.0000
0.0000 0.0000 17.3104
ATOMIC_POSITIONS crystal
Tm 0.0000 0.0000 0.0000
Tm 0.3333 0.6667 0.6667
Tm 0.6667 0.3333 0.3333
Ta 0.0000 0.0000 0.5000
Ta 0.3333 0.6667 0.1667
Ta 0.6667 0.3333 0.8333
B 0.0000 0.0000 0.2367
B 0.0000 0.0000 0.7633
B 0.3333 0.6667 0.4299
B 0.3333 0.6667 0.9034
B 0.6667 0.3333 0.0966
B 0.6667 0.3333 0.5701
```

## Properties
SG   R-3m (166)

(5)
## TmTa2B6 (GGA-PBE)

Data for a relaxed TmTa2B6 crystal. Values from VASP.

The structure in Quantum ESPRESSO input format:
```
&SYSTEM
  ibrav = 0, nat = 9, ntyp = 3
/
ATOMIC_SPECIES
Tm 168.93 Tm.upf
Ta 180.95 Ta.upf
B 10.81 B.upf
CELL_PARAMETERS angstrom
5.4375 0.0000 0.0000
-2.7188 4.7091 0.0000
0.0000 0.0000 3.4428
ATOMIC_POSITIONS crystal
Tm 0.0000 0.0000 0.0000
Ta 0.3333 0.6667 0.0000
Ta 0.6667 0.3333 0.0000
B 0.0000 0.3376 0.5000
B 0.0000 0.6624 0.5000
B 0.3376 0.0000 0.5000
B 0.3376 0.3376 0.5000
B 0.6624 0.0000 0.5000
B 0.6624 0.6624 0.5000
```

## Properties
E above lowest polymorph   0.000 eV per formula unit
SG   P6/mmm (191)

(6)
## Tm2TaB6 (GGA-PBE)

Data for a relaxed Tm2TaB6 crystal. Values from VASP.

The structure in Quantum ESPRESSO input format:
```
&SYSTEM
  ibrav = 0, nat = 9, ntyp = 3
/
ATOMIC_SPECIES
Tm 168.93 Tm.upf
Ta 180.95 Ta.upf
B 10.81 B.upf
CELL_PARAMETERS angstrom
-1.5184 3.9432 4.4060
1.5184 -3.9432 4.4060
1.5184 3.9432 -4.4060
ATOMIC_POSITIONS crystal
Tm 0.1482 0.1482 0.0000
Tm 0.8518 0.8518 0.0000
Ta 0.5000 0.0000 0.5000
B 0.0619 0.3071 0.7548
B 0.2355 0.5000 0.7355
B 0.4476 0.6929 0.7548
B 0.5524 0.3071 0.2452
B 0.7645 0.5000 0.2645
B 0.9381 0.6929 0.2452
```

## Properties
SG   Immm (71)

| no. | ΔH_f (0 K) (eV/f.u.) | total energy (eV/atom) | size of the total moment (μB/f.u.) |
| --- | --- | --- | --- |
| 1 | 4.15 | -7.15 | 0.000 |
| 2 | -1.04 | -8.02 | 0.000 |
| 3 | -4.80 | -8.12 | 0.000 |
| 4 | -0.86 | -7.64 | 0.000 |
| 5 | -6.60 | -8.32 | 0.000 |
| 6 | 1.08 | -6.64 | 0.000 |